Entry from the Alexandria database: AlTe2 at its PBEsol-relaxed geometry (meta-GGA SCAN).

Computed properties:
Energy relative to the elements, uncorrected = -0.9 eV per formula unit

Cell lengths 7.357, 7.357, 5.680 Å; angles 90.00, 90.00, 148.39 degrees
Sites, in units of the cell vectors:
Al (0.168, 0.832, 0.750)
Al (0.832, 0.168, 0.250)
Te (0.196, 0.804, 0.250)
Te (0.473, 0.527, 0.250)
Te (0.527, 0.473, 0.750)
Te (0.804, 0.196, 0.750)